# 1
PBEsol CsKCa3, relaxed; space group = No. 221; E = -0.882 eV/atom; formation enthalpy at 0 K = 813.3 meV/atom; excess energy over the best structure of this formula in the dataset = 188 meV per atom; density of states at the Fermi level = 1.5233 states/eV/atom
1.0
6.511 0.000 0.000
0.000 6.511 0.000
0.000 0.000 6.511
Cs K Ca
1 1 3
Cartesian
0.000 0.000 0.000 Cs
3.256 3.256 3.256 K
0.000 0.000 3.256 Ca
0.000 3.256 0.000 Ca
3.256 0.000 0.000 Ca

# 2
PBEsol LaIn2Sb, relaxed; space group = No. 99; E = -4.252 eV/atom; energy relative to the elements, uncorrected = -0.2845 eV per atom; excess energy over the best structure of this formula in the dataset = 341 meV per atom; density of states at the Fermi level = 0.6754 states/eV/atom
1.0
3.376 0.000 0.000
0.000 3.376 0.000
0.000 0.000 9.569
La In Sb
1 2 1
Cartesian
0.000 0.000 0.000 La
0.000 0.000 4.897 In
1.688 1.688 7.120 In
1.688 1.688 2.357 Sb

# 3
PBEsol Te2SF, relaxed; space group = No. 166; E = -3.686 eV/atom; energy relative to the elements, uncorrected = -0.3455 eV per atom; excess energy over the best structure of this formula in the dataset = 0 meV per atom; density of states at the Fermi level = 0.6400 states/eV/atom
1.0
1.693 0.977 8.537
-1.693 0.977 8.537
0.000 -1.955 8.537
Te S F
2 1 1
Cartesian
0.000 0.000 2.248 Te
0.000 0.000 23.363 Te
0.000 0.000 12.805 S
0.000 0.000 0.000 F

# 4
PBEsol KNa2Ag2, relaxed; space group = No. 139; E = -2.001 eV/atom; formation enthalpy at 0 K = 109.8 meV/atom; density of states at the Fermi level = 0.3907 states/eV/atom
1.0
-2.353 2.353 6.638
2.353 -2.353 6.638
2.353 2.353 -6.638
K Na Ag
1 2 2
Cartesian
0.000 0.000 0.000 K
2.353 0.000 3.319 Na
0.000 2.353 3.319 Na
0.000 0.000 5.295 Ag
0.000 0.000 7.981 Ag

# 5
PBEsol BeSb2TePb, relaxed; space group = No. 123; E = -2.841 eV/atom; energy relative to the elements, uncorrected = 1.2871 eV per atom; density of states at the Fermi level = 0.7389 states/eV/atom
1.0
5.623 0.000 0.000
0.000 5.623 0.000
0.000 0.000 5.874
Be Sb Te Pb
1 2 1 1
Cartesian
0.000 0.000 0.000 Be
0.000 2.812 2.937 Sb
2.812 0.000 2.937 Sb
2.812 2.812 2.937 Te
2.812 2.812 0.000 Pb

# 6
PBEsol Pt2OF, relaxed; space group = No. 225; E = -4.657 eV/atom; energy relative to the elements, uncorrected = 0.6186 eV per atom; density of states at the Fermi level = 1.3408 states/eV/atom
1.0
0.000 2.860 2.860
2.860 0.000 2.860
2.860 2.860 0.000
Pt O F
2 1 1
Cartesian
1.430 1.430 1.430 Pt
4.290 4.290 4.290 Pt
0.000 0.000 0.000 O
2.860 2.860 2.860 F

# 7
PBEsol SrZrPb2, relaxed; space group = No. 8; E = -4.890 eV/atom; formation enthalpy at 0 K = -158.5 meV/atom; density of states at the Fermi level = 0.6139 states/eV/atom
1.0
5.994 -1.692 0.000
5.994 1.692 0.000
-0.812 0.000 5.411
Sr Zr Pb
1 1 2
Cartesian
0.000 0.000 0.000 Sr
2.750 0.000 2.454 Zr
5.919 0.000 2.746 Pb
8.111 0.000 5.136 Pb

# 8
PBEsol ZrTc2Sb, relaxed; space group = No. 12; E = -9.055 eV/atom; energy relative to the elements, uncorrected = -0.0099 eV per atom; density of states at the Fermi level = 0.7843 states/eV/atom
1.0
4.519 -1.614 0.000
4.519 1.614 0.000
-1.480 0.000 4.726
Zr Tc Sb
1 2 1
Cartesian
0.000 0.000 0.000 Zr
1.122 0.000 3.483 Tc
6.437 0.000 1.244 Tc
3.779 0.000 2.363 Sb

# 9
PBEsol YFeCl2, relaxed; space group = No. 12; E = -5.772 eV/atom; energy relative to the elements, uncorrected = -0.8216 eV per atom; excess energy over the best structure of this formula in the dataset = 0 meV per atom; density of states at the Fermi level = 0.6362 states/eV/atom
1.0
6.149 -1.762 0.000
6.149 1.762 0.000
-0.046 0.000 4.234
Y Fe Cl
1 1 2
Cartesian
0.000 0.000 0.000 Y
6.126 0.000 2.117 Fe
4.262 0.000 3.228 Cl
7.990 0.000 1.006 Cl

# 10
PBEsol Bi2Ir, relaxed; space group = No. 14; E = -6.162 eV/atom; formation enthalpy at 0 K = -30.8 meV/atom; density of states at the Fermi level = 0.1050 states/eV/atom
1.0
6.899 0.000 0.000
0.000 6.810 0.000
-3.083 0.000 6.266
Bi Ir
8 4
Cartesian
-0.171 0.955 2.378 Bi
-1.713 2.450 5.511 Bi
0.299 4.361 4.246 Bi
1.840 5.854 1.113 Bi
1.976 0.956 5.153 Bi
3.518 2.449 2.020 Bi
5.529 4.360 0.755 Bi
3.987 5.855 3.888 Bi
-0.554 0.014 4.965 Ir
0.988 3.391 1.832 Ir
2.828 3.419 4.434 Ir
4.370 6.797 1.301 Ir

# 11
PBEsol ZnSbPt2, relaxed; space group = No. 25; E = -5.280 eV/atom; energy relative to the elements, uncorrected = -0.2635 eV per atom; density of states at the Fermi level = 0.3237 states/eV/atom
1.0
3.516 0.000 0.000
0.000 4.545 0.000
0.000 0.000 4.221
Zn Sb Pt
1 1 2
Cartesian
0.000 0.000 0.000 Zn
1.758 2.272 0.761 Sb
0.000 2.272 2.986 Pt
1.758 0.000 2.076 Pt

# 12
PBEsol Re2Cl, relaxed; space group = No. 71; E = -9.242 eV/atom; energy relative to the elements, uncorrected = 0.3154 eV per atom; excess energy over the best structure of this formula in the dataset = 150 meV per atom; density of states at the Fermi level = 0.5505 states/eV/atom
1.0
-1.462 1.497 5.724
1.462 -1.497 5.724
1.462 1.497 -5.724
Re Cl
2 1
Cartesian
0.000 0.000 2.150 Re
0.000 0.000 9.297 Re
1.462 0.000 0.000 Cl

# 13
PBEsol Sc2SbS, relaxed; space group = No. 166; E = -6.365 eV/atom; energy relative to the elements, uncorrected = -0.8276 eV per atom; density of states at the Fermi level = 0.7389 states/eV/atom
1.0
2.165 1.250 7.441
-2.165 1.250 7.441
0.000 -2.500 7.441
Sc Sb S
2 1 1
Cartesian
0.000 0.000 2.323 Sc
0.000 0.000 20.000 Sc
0.000 0.000 11.161 Sb
0.000 0.000 0.000 S

# 14
PBEsol Re2PBr, relaxed; space group = No. 216; E = -7.335 eV/atom; energy relative to the elements, uncorrected = 1.2467 eV per atom; excess energy over the best structure of this formula in the dataset = 491 meV per atom; density of states at the Fermi level = 1.1175 states/eV/atom
1.0
0.000 3.137 3.137
3.137 0.000 3.137
3.137 3.137 0.000
Re P Br
2 1 1
Cartesian
0.000 0.000 0.000 Re
1.569 1.569 1.569 Re
4.706 4.706 4.706 P
3.137 3.137 3.137 Br

# 15
PBEsol Ti3NiSb2P6O24, relaxed; space group = No. 146; E = -7.751 eV/atom; energy relative to the elements, uncorrected = -2.1688 eV per atom; density of states at the Fermi level = 0.4104 states/eV/atom
1.0
4.289 2.476 7.336
-4.289 2.476 7.336
0.000 -4.952 7.336
Ti Ni Sb P O
3 1 2 6 24
Cartesian
0.000 0.000 0.000 Ti
0.000 0.000 4.538 Ti
0.000 0.000 15.447 Ti
0.000 0.000 11.054 Ni
0.000 0.000 8.060 Sb
0.000 0.000 18.893 Sb
-3.058 0.308 9.545 P
-1.263 -2.139 13.148 P
1.262 -2.802 9.545 P
-1.221 2.163 13.148 P
1.796 2.494 9.545 P
2.484 -0.024 13.148 P
-3.471 1.054 8.274 O
-0.974 -1.194 5.813 O
-2.815 -2.467 13.261 O
-3.537 0.989 10.819 O
0.823 -3.533 8.274 O
-1.485 0.267 9.509 O
-0.547 1.441 5.813 O
-1.131 -1.343 11.878 O
0.912 -3.558 10.819 O
0.511 -1.420 9.509 O
1.521 -0.246 5.813 O
-0.814 -1.423 14.439 O
-0.597 1.651 11.878 O
-1.505 -0.069 16.839 O
0.974 1.152 9.509 O
-0.825 1.417 14.439 O
1.729 -0.308 11.878 O
-0.729 3.671 13.261 O
0.813 -1.269 16.839 O
1.639 0.006 14.439 O
2.648 2.479 8.274 O
3.544 -1.204 13.261 O
0.693 1.338 16.839 O
2.626 2.569 10.819 O

# 16
PBEsol InReSN2, relaxed; space group = No. 123; E = -5.345 eV/atom; energy relative to the elements, uncorrected = 2.2056 eV per atom; density of states at the Fermi level = 0.6581 states/eV/atom
1.0
4.049 0.000 0.000
0.000 4.049 0.000
0.000 0.000 5.068
In Re S N
1 1 1 2
Cartesian
0.000 0.000 0.000 In
2.025 2.025 2.534 Re
0.000 0.000 2.534 S
0.000 2.025 0.000 N
2.025 0.000 0.000 N

# 17
PBEsol K3NiPCO7, relaxed; space group = No. 11; E = -6.554 eV/atom; energy relative to the elements, uncorrected = -1.8051 eV per atom
1.0
5.531 0.000 0.000
0.000 6.692 0.000
-0.001 0.000 9.416
K Ni P C O
6 2 2 2 14
Cartesian
1.379 1.673 4.067 K
1.383 3.410 7.551 K
1.383 6.627 7.551 K
4.147 0.065 1.866 K
4.147 3.281 1.866 K
4.151 5.019 5.349 K
1.383 5.019 1.467 Ni
4.147 1.673 7.949 Ni
1.384 1.673 0.781 P
4.146 5.019 8.636 P
1.386 5.019 3.936 C
4.144 1.673 5.480 C
0.113 1.673 9.318 O
0.280 5.019 3.241 O
1.381 0.422 1.710 O
1.381 2.924 1.710 O
1.387 5.019 5.216 O
2.490 5.019 3.238 O
2.663 1.673 9.329 O
2.867 5.019 0.087 O
3.040 1.673 6.178 O
4.143 1.673 4.201 O
4.149 3.768 7.706 O
4.149 6.269 7.706 O
5.250 1.673 6.176 O
5.417 5.019 0.098 O

# 18
PBEsol Sc2Ni3, relaxed; space group = No. 43; E = -6.799 eV/atom; formation enthalpy at 0 K = -462.0 meV/atom; density of states at the Fermi level = 0.7075 states/eV/atom
1.0
0.000 6.779 2.487
4.284 0.000 2.487
4.284 6.779 0.000
Sc Ni
4 6
Cartesian
4.951 2.725 2.487 Sc
5.760 6.115 3.730 Sc
3.618 10.833 2.487 Sc
2.809 7.444 3.730 Sc
4.284 6.779 0.900 Ni
2.142 3.390 2.144 Ni
3.715 5.118 2.478 Ni
4.854 8.440 2.478 Ni
6.996 8.508 3.721 Ni
5.858 11.830 3.721 Ni

# 19
PBEsol Li2AlIr, relaxed; space group = No. 71; E = -4.874 eV/atom; formation enthalpy at 0 K = -411.6 meV/atom; density of states at the Fermi level = 0.3982 states/eV/atom
1.0
-1.456 2.065 4.498
1.456 -2.065 4.498
1.456 2.065 -4.498
Li Al Ir
2 1 1
Cartesian
0.000 0.000 2.161 Li
0.000 0.000 6.835 Li
0.000 2.065 0.000 Al
1.456 0.000 0.000 Ir

# 20
PBEsol IrOs2Au, relaxed; space group = No. 123; E = -8.767 eV/atom; formation enthalpy at 0 K = 778.0 meV/atom; density of states at the Fermi level = 1.4731 states/eV/atom
1.0
4.684 0.000 0.000
0.000 4.684 0.000
0.000 0.000 2.719
Ir Os Au
1 2 1
Cartesian
0.000 0.000 0.000 Ir
0.000 2.342 1.360 Os
2.342 0.000 1.360 Os
2.342 2.342 0.000 Au